Here is a geometry-optimized Cs2LiV3F12 structure from Alexandria via LeMat-Bulk. Energies are from GGA+U.

```
Cs2LiV3F12
1.0
7.434 0.006 0.004
3.616 6.495 0.004
3.616 2.127 6.137
F Cs Li V
12 2 1 3
Direct
0.667 0.071 0.071
0.684 0.684 0.072
0.071 0.071 0.667
0.929 0.333 0.929
0.316 0.316 0.928
0.928 0.316 0.316
0.071 0.667 0.071
0.316 0.928 0.316
0.929 0.929 0.333
0.072 0.684 0.684
0.684 0.072 0.684
0.333 0.929 0.929
0.369 0.369 0.369
0.631 0.631 0.631
0.000 0.000 0.000
0.000 0.500 0.000
0.500 0.000 0.000
0.000 0.000 0.500
```

## Properties
Calculated volume, Å³ per atom: 16.45
E_tot, eV for the cell shown: -101.27
Spin magnetization, μB/atom: 0.3333
Space-group type: R-3m (166)